(1)
4
Lattice="0.000 3.752 3.752 3.752 0.000 3.752 3.752 3.752 0.000" Properties=species:S:1:pos:R:3 comment="EuYMgGa | the Alexandria database | PBE | relaxed" sg=F-43m formation_energy_ev_per_atom=-0.29 pbc="T T T"
Eu 0.000 0.000 0.000
Y 3.752 3.752 3.752
Mg 5.628 5.628 5.628
Ga 1.876 1.876 1.876

(2)
4
Lattice="0.000 3.515 3.515 3.515 0.000 3.515 3.515 3.515 0.000" Properties=species:S:1:pos:R:3 comment="EuMgZnGa | the Alexandria database | PBE | relaxed" sg=F-43m formation_energy_ev_per_atom=-0.33 pbc="T T T"
Eu 0.000 0.000 0.000
Mg 3.515 3.515 3.515
Zn 5.273 5.273 5.273
Ga 1.758 1.758 1.758

(3)
5
Lattice="4.911 0.000 0.000 0.000 4.911 0.000 0.000 0.000 4.911" Properties=species:S:1:pos:R:3 comment="EuGa3Mo | the Alexandria database | PBE | relaxed" sg=Pm-3m formation_energy_ev_per_atom=-0.20 pbc="T T T"
Eu 0.000 0.000 0.000
Ga 0.000 2.456 2.456
Ga 2.456 0.000 2.456
Ga 2.456 2.456 0.000
Mo 2.456 2.456 2.456

(4)
4
Lattice="1.775 1.025 9.200 -1.775 1.025 9.200 0.000 -2.050 9.200" Properties=species:S:1:pos:R:3 comment="Eu2GaN | the Alexandria database | PBE | relaxed" e_form_raw_mev_per_atom=-476.8 sg=R-3m pbc="T T T"
Eu 0.000 0.000 3.205
Eu 0.000 0.000 24.395
Ga 0.000 0.000 0.000
N 0.000 0.000 13.800

no.,spin magnetization (μB per cell)
1,7.35
2,6.89
3,6.55
4,14.16